DFT (PBE) results for a geometry-optimized LiDyTe4Pb2 structure.

Structure (extended XYZ):
```
8
Lattice="-0.225 3.994 -2.032 -7.002 -1.780 -2.721 -0.802 3.501 6.968" Properties=species:S:1:pos:R:3 pbc="T T T"
Li -3.614 1.107 -2.377
Dy 0.000 0.000 0.000
Te -2.017 2.365 -0.082
Te -6.013 3.350 2.296
Te -2.413 2.243 4.675
Te -5.392 -0.522 -0.428
Pb -0.514 3.747 2.468
Pb -3.902 0.860 2.124
```

Properties
* E_tot: -4.118 eV per atom
* symmetry: P2/m